Below is a relaxed structure of LiTl2SeO4, with properties calculated at the PBE level.

Properties
Space-group type: Fddd, No. 70
E_form (uncorrected), kJ/mol of formula units: -651

```
LiTl2SeO4
1.0
5.165 0.000 0.000
2.582 5.832 0.000
2.582 0.000 11.117
O Tl Li Se
8 4 2 2
Direct
0.257 0.161 0.916
0.828 0.839 0.916
0.922 0.661 0.584
0.582 0.161 0.084
0.493 0.339 0.584
0.416 0.661 0.416
0.334 0.839 0.084
0.168 0.339 0.416
0.604 0.500 0.792
0.854 0.000 0.292
0.896 0.500 0.208
0.146 0.000 0.708
0.000 0.000 0.000
0.750 0.500 0.500
0.500 0.000 0.000
0.250 0.500 0.500
```

***

Below is a relaxed structure of Zr2TaNbSb, with properties calculated at the PBE level.

Properties
Space-group type: P4/mmm, No. 123
E_form (uncorrected), kJ/mol of formula units: 579

```
Zr2TaNbSb
1.0
5.039 0.000 0.000
0.000 5.115 0.000
0.000 0.000 5.039
Sb Zr Ta Nb
1 2 1 1
Direct
0.000 0.500 0.000
0.500 0.000 0.000
0.000 0.000 0.500
0.500 0.500 0.500
0.000 0.000 0.000
```

***

Below is a relaxed structure of KTe2OsN, with properties calculated at the PBE level.

Properties
Space-group type: P4/mmm, No. 123
E_form (uncorrected), kJ/mol of formula units: 29
Polymorph energy (0 for the lowest one), kJ/mol of formula units: 0

```
KTe2OsN
1.0
5.778 0.000 0.000
0.000 5.778 0.000
0.000 0.000 3.698
K Te N Os
1 2 1 1
Direct
0.500 0.500 0.500
0.500 0.000 0.000
0.000 0.500 0.000
0.000 0.000 0.500
0.000 0.000 0.000
```

***

Below is a relaxed structure of TiV, with properties calculated at the PBE level.

Properties
Total energy, eV per atom: -6.81
Space-group type: I-43m, No. 217

```
TiV
1.0
7.343 0.000 0.000
0.000 7.343 0.000
0.000 0.000 7.343
Ti V
8 8
Direct
0.220 0.220 0.220
0.780 0.220 0.780
0.220 0.780 0.780
0.720 0.720 0.720
0.780 0.780 0.220
0.280 0.720 0.280
0.280 0.280 0.720
0.720 0.280 0.280
0.616 0.384 0.616
0.884 0.116 0.116
0.884 0.884 0.884
0.116 0.116 0.884
0.616 0.616 0.384
0.384 0.384 0.384
0.384 0.616 0.616
0.116 0.884 0.116
```

***

The records above give, respectively, total magnetization values of 0.000; 0.000; 0.519; 0.000 μB/f.u..